Computed, not measured: a relaxed structure of AlAgW2 at the PBE level of DFT.

* DOS at the Fermi energy: 0.568 states/eV per atom
* symmetry: Pm, No. 6
* crystal system: monoclinic
* energy of formation: 290.6 meV per atom
* E: -31.34 eV/cell
* total magnetic moment: 0.00 μB/cell

```
AlAgW2
1.0
2.779 0.000 0.001
0.000 3.084 0.000
-0.404 0.000 7.790
W Ag Al
2 1 1
direct
0.178 0.000 0.465
0.813 0.500 0.230
0.732 0.500 0.741
0.268 0.000 0.986
```